Material: Rb2CF
Method: DFT, PBE-GGA
State: relaxed

a = 7.056 Å, b = 7.056 Å, c = 7.056 Å
α = 115.58°, β = 115.58°, γ = 97.85°
Sites, in units of the cell vectors:
Rb  0.085  0.625  0.960
Rb  0.375  0.335  0.460
Rb  0.665  0.125  0.040
Rb  0.875  0.915  0.540
C  0.250  0.750  0.500
C  0.500  0.500  0.000
F  0.000  0.000  0.000
F  0.750  0.250  0.500

## Properties
electronic total energy	-27.00	eV/cell
formation energy (no corrections)	-0.118	eV per atom
excess energy over the best structure of this formula in the dataset	0.000	kcal/mol of atoms

***

Material: Rb2CF7
Method: DFT, PBE-GGA
State: relaxed

a = 5.910 Å, b = 5.910 Å, c = 5.910 Å
α = 117.32°, β = 117.32°, γ = 94.70°
Sites, in units of the cell vectors:
Rb  0.250  0.750  0.500
Rb  0.750  0.250  0.500
C  0.000  0.000  0.000
F  0.176  0.176  0.352
F  0.176  0.824  0.000
F  0.214  0.214  0.000
F  0.500  0.500  0.000
F  0.786  0.786  0.000
F  0.824  0.176  0.000
F  0.824  0.824  0.648

## Properties
electronic total energy	-40.14	eV/cell
formation energy (no corrections)	-1.588	eV per atom

***

Number 1: spin magnetization 0.750 μB/atom. Number 2: spin magnetization 0.113 μB/atom.